Below is a geometry-optimized Be2AgRu structure, with properties calculated at the PBE-GGA level.

```
Be2AgRu
1.0
-1.903 -1.232 -2.693
-1.645 -1.717 1.948
-3.617 2.382 1.467
Be Ru Ag
2 1 1
Cartesian
-2.078 0.008 -0.836
-3.869 1.997 1.821
-2.239 0.102 1.536
-5.227 0.038 1.376
```

SG: Amm2
Electronic total energy: -4.945 eV/atom